[1]
{
  "formula": "CrTcRh2",
  "functional": "PBEsol",
  "state": "optimized geometry",
  "magnetic_moment_mub_per_atom": 0.129,
  "spacegroup": "No. 123",
  "de_polymorph_mev_per_atom": 72,
  "e_form_ev_per_fu": -0.28,
  "volume_a3_per_atom": 13.1,
  "lattice_angstrom": [[3.7231, 0.0000, 0.0000], [0.0000, 3.7231, 0.0000], [0.0000, 0.0000, 3.7724]],
  "species": ["Tc", "Rh", "Rh", "Cr"],
  "fractional_positions": [[0.5000, 0.5000, 0.5000], [0.5000, 0.0000, 0.0000], [0.0000, 0.5000, 0.0000], [0.0000, 0.0000, 0.5000]]
}



[2]
{
  "formula": "CrTcRh2",
  "functional": "PBEsol",
  "state": "optimized geometry",
  "magnetic_moment_mub_per_atom": 0.000,
  "spacegroup": "No. 25",
  "de_polymorph_mev_per_atom": 0,
  "e_form_ev_per_fu": -0.57,
  "volume_a3_per_atom": 13.0,
  "lattice_angstrom": [[-1.2631, 1.7236, 1.5666], [-2.7598, 0.7909, -3.0954], [-2.7298, -3.4187, 1.5604]],
  "species": ["Tc", "Rh", "Rh", "Cr"],
  "fractional_positions": [[0.5000, 0.0000, 0.5353], [0.0000, 0.5000, 0.7034], [0.0000, 0.0000, 0.0486], [0.5000, 0.5000, 0.2127]]
}